VASP calculation (PBE) on crystalline Tl6Hg12Pb at its relaxed geometry.

Unit cell a=8.3764 b=8.3764 c=8.3764 alpha=97.32 beta=97.32 gamma=97.32
Fractional positions:
Tl  0.1847  0.3296  0.7443
Tl  0.2557  0.8153  0.6704
Tl  0.3296  0.7443  0.1847
Tl  0.6704  0.2557  0.8153
Tl  0.7443  0.1847  0.3296
Tl  0.8153  0.6704  0.2557
Hg  0.0115  0.2982  0.0631
Hg  0.0631  0.0115  0.2982
Hg  0.1289  0.5004  0.3872
Hg  0.2982  0.0631  0.0115
Hg  0.3872  0.1289  0.5004
Hg  0.5004  0.3872  0.1289
Hg  0.4996  0.6128  0.8711
Hg  0.6128  0.8711  0.4996
Hg  0.7018  0.9369  0.9885
Hg  0.8711  0.4996  0.6128
Hg  0.9369  0.9885  0.7018
Hg  0.9885  0.7018  0.9369
Pb  0.5000  0.5000  0.5000

Properties
The total energy comes out at -1.120 eV per atom.